No. 1
Cr2RuBr: relaxed, GGA-PBE.

Properties
Crystal system: orthorhombic
Polymorph energy (0 for the lowest one), kcal/mol of atoms: 5.857
N(E_F), states/eV/f.u.: 4.2

a b c (Å): 3.0326 4.4118 4.4694
angles (deg): 90.00 90.00 90.00
Last column: nearest neighbours and their distance in Å.
Fractional positions:
Br: 0.0000 0.5000 0.5000  4 Ru 2.68, 4 Cr 2.70
Cr: 0.0000 0.0000 0.0000  4 Cr 2.68, 4 Ru 2.70
Cr: 0.5000 0.5000 0.0000  4 Cr 2.68, 4 Br 2.70
Ru: 0.5000 0.0000 0.5000  4 Br 2.68, 4 Cr 2.70

No. 2
SrCa2Mg: relaxed, GGA-PBE.

Properties
Crystal system: orthorhombic
E_form, kcal/mol of atoms: -0.15
N(E_F), states/eV/f.u.: 5.2

a b c (Å): 7.2432 7.2432 6.2363
angles (deg): 64.48 64.48 32.93
Last column: nearest neighbours and their distance in Å.
Fractional positions:
Sr: 0.2500 0.2500 0.2500  4 Mg 3.73, 8 Ca 4.05-4.14, 2 Sr 4.11
Ca: 0.0311 0.0311 0.9691  2 Mg 3.41, 2 Ca 3.81
Ca: 0.4689 0.4689 0.5309  2 Mg 3.41, 2 Ca 3.81
Mg: 0.7500 0.7500 0.7500  4 Ca 3.41, 4 Sr 3.73

No. 3
Sm3HoTh: relaxed, GGA-PBE.

Properties
Crystal system: monoclinic
Polymorph energy (0 for the lowest one), kcal/mol of atoms: 0.000
E_form, kcal/mol of atoms: 2.18
N(E_F), states/eV/f.u.: 7.7

a b c (Å): 6.5855 6.5855 11.9040
angles (deg): 53.85 53.85 64.81
Last column: nearest neighbours and their distance in Å.
Fractional positions:
Sm: 0.0900 0.5839 0.7171  7 Sm 3.49-3.85, 3 Ho 3.62-3.75, 3 Th 3.64-3.68
Sm: 0.7603 0.7603 0.4953  1 Th 3.39, 1 Ho 3.41, 6 Sm 3.53-3.75
Sm: 0.5839 0.0900 0.7171  7 Sm 3.49-3.85, 3 Ho 3.62-3.75, 3 Th 3.64-3.68
Sm: 0.4161 0.9100 0.2829  7 Sm 3.49-3.85, 3 Ho 3.62-3.75, 3 Th 3.64-3.68
Sm: 0.9100 0.4161 0.2829  7 Sm 3.49-3.85, 3 Ho 3.62-3.75, 3 Th 3.64-3.68
Sm: 0.2397 0.2397 0.5047  1 Th 3.39, 1 Ho 3.41, 6 Sm 3.53-3.75
Ho: 0.4552 0.4552 0.8959  1 Ho 3.25, 3 Th 3.29-3.53, 5 Sm 3.41-3.63
Ho: 0.5448 0.5448 0.1041  1 Ho 3.25, 3 Th 3.29-3.53, 5 Sm 3.41-3.63
Th: 0.0515 0.0515 0.0977  1 Th 3.23, 3 Ho 3.29-3.53, 1 Sm 3.39
Th: 0.9485 0.9485 0.9023  1 Th 3.23, 3 Ho 3.29-3.53, 1 Sm 3.39

No. 4
TePN2: relaxed, GGA-PBE.

Properties
Crystal system: tetragonal
Polymorph energy (0 for the lowest one), kcal/mol of atoms: 0.000
N(E_F), states/eV/f.u.: 1.3

a b c (Å): 5.2791 5.2791 5.2757
angles (deg): 59.98 59.98 90.00
Last column: nearest neighbours and their distance in Å.
Fractional positions:
P: 0.5000 0.5000 0.0000  4 N 1.62
P: 0.2500 0.7500 0.5000  4 N 1.62
Te: 0.0000 0.0000 0.0000  12 N 3.09-3.10, 4 Te 3.23, 4 P 3.23
Te: 0.7500 0.2500 0.5000  12 N 3.09-3.10, 4 P 3.23, 4 Te 3.23
N: 0.3745 0.1250 0.2500  2 P 1.62
N: 0.3755 0.6250 0.2500  2 P 1.62
N: 0.3750 0.6255 0.7500  2 P 1.62
N: 0.8750 0.6245 0.7500  2 P 1.62

No. 5
NpFeGeIr: relaxed, GGA-PBE.

Properties
Crystal system: cubic
E_form, kcal/mol of atoms: 5.81
N(E_F), states/eV/f.u.: 11.9

a b c (Å): 4.5623 4.5623 4.5623
angles (deg): 60.00 60.00 60.00
Last column: nearest neighbours and their distance in Å.
Fractional positions:
Np: 0.2500 0.2500 0.2500  4 Ge 2.79, 4 Fe 2.79
Ge: 0.5000 0.5000 0.5000  4 Ir 2.79, 4 Np 2.79
Ir: 0.7500 0.7500 0.7500  4 Ge 2.79, 4 Fe 2.79
Fe: 0.0000 0.0000 0.0000  4 Ir 2.79, 4 Np 2.79

No. 6
Dy3ErRh: relaxed, GGA-PBE.

Properties
Crystal system: cubic
Polymorph energy (0 for the lowest one), kcal/mol of atoms: 4.555
E_form, kcal/mol of atoms: -4.62
N(E_F), states/eV/f.u.: 7.7

a b c (Å): 5.3921 5.3921 5.3921
angles (deg): 90.00 90.00 90.00
Last column: nearest neighbours and their distance in Å.
Fractional positions:
Dy: 0.0000 0.5000 0.0000  2 Rh 2.70
Dy: 0.0000 0.0000 0.5000  2 Rh 2.70
Dy: 0.5000 0.0000 0.0000  2 Rh 2.70
Rh: 0.0000 0.0000 0.0000  6 Dy 2.70
Er: 0.5000 0.5000 0.5000  12 Dy 3.81

Question: Which of these has the highest N(E_F)?
Answer: NpFeGeIr

Question: Which value of N(E_F) does entry 1 give?
Answer: 4.2 states/eV/f.u.

Question: Which of these has the lowest N(E_F)?
Answer: TePN2

Question: Among the records above, which one has the lowest N(E_F)?
Answer: TePN2